Below is Nd3Tl2Hg2 after structural relaxation, with properties calculated at the PBE level.

Calculated values
For the energy of formation from the pure elements, the calculation gives -0.33 eV/atom. The calculation puts the mass density at 9.52 g cm⁻³. The total magnetic moment is 0.000 μB per cell.

a = 5.245 Å, b = 5.378 Å, c = 8.991 Å
α = 100.89°, β = 90.27°, γ = 118.82°
Space group P-1 (No. 2)
One atom of each set of equivalent atoms:
Nd1 0.000 0.000 0.000 [1 per cell]
Nd2 0.275 0.558 0.699 [2 per cell]
Tl1 0.363 0.721 0.145 [2 per cell]
Hg1 0.070 0.126 0.363 [2 per cell]

---

Below is RbInICl after structural relaxation, with properties calculated at the PBE level.

Calculated values
The calculation puts the mass density at 4.15 g cm⁻³. The total magnetic moment is 0.000 μB per cell. The uncorrected formation energy comes out at -1082 meV per atom.

a = 8.341 Å, b = 8.341 Å, c = 8.341 Å
α = 90.00°, β = 90.00°, γ = 90.00°
Space group F-43m (No. 216)
One atom of each set of equivalent atoms:
Rb1 0.000 0.000 0.000 [4 per cell]
In1 0.000 0.000 0.500 [4 per cell]
I1 0.250 0.250 0.750 [4 per cell]
Cl1 0.250 0.250 0.250 [4 per cell]

---

Below is CsTiAs2 after structural relaxation, with properties calculated at the PBE level.

Calculated values
For the energy of formation from the pure elements, the calculation gives -0.48 eV/atom. The calculation puts the mass density at 5.05 g cm⁻³. The total magnetic moment is 0.000 μB per cell.

a = 3.9293 Å, b = 3.9293 Å, c = 24.3827 Å
α = 90.00°, β = 90.00°, γ = 120.00°
Space group R-3m (No. 166, hexagonal axes)
One atom of each set of equivalent atoms:
Cs1 0.0000 0.0000 0.0000 [3 per cell]
Ti1 0.0000 0.0000 0.5000 [3 per cell]
As1 0.0000 0.0000 0.2201 [6 per cell]

---

Below is Dy3Te2C after structural relaxation, with properties calculated at the PBE level.

Calculated values
The calculation puts the mass density at 8.32 g cm⁻³. The total magnetic moment is 0.000 μB per cell. The uncorrected formation energy comes out at -976 meV per atom.

a = 13.687 Å, b = 5.938 Å, c = 7.730 Å
α = 90.00°, β = 106.35°, γ = 90.00°
Space group C2/c (No. 15)
One atom of each set of equivalent atoms:
Dy1 0.000 0.048 0.250 [4 per cell]
Dy2 0.123 0.499 0.562 [8 per cell]
Te1 0.180 0.000 0.090 [8 per cell]
C1 0.000 0.464 0.250 [4 per cell]

---

Below is La2Tb3Nd6Tl after structural relaxation, with properties calculated at the PBE level.

Calculated values
For the energy of formation from the pure elements, the calculation gives -0.04 eV/atom. The calculation puts the mass density at 7.56 g cm⁻³. The total magnetic moment is 0.000 μB per cell.

a = 6.246 Å, b = 10.834 Å, c = 12.034 Å
α = 90.00°, β = 100.05°, γ = 90.00°
Space group C2/m (No. 12)
One atom of each set of equivalent atoms:
La1 0.000 0.166 0.000 [4 per cell]
Tb1 0.000 0.000 0.500 [2 per cell]
Tb2 0.000 0.333 0.500 [4 per cell]
Nd1 0.241 0.500 0.747 [4 per cell]
Nd2 0.246 0.337 0.252 [8 per cell]
Tl1 0.000 0.500 0.000 [2 per cell]

---

Below is NdThNiAu after structural relaxation, with properties calculated at the PBE level.

Calculated values
For the energy of formation from the pure elements, the calculation gives -0.39 eV/atom. The calculation puts the mass density at 10.99 g cm⁻³. The total magnetic moment is 0.000 μB per cell.

a = 7.254 Å, b = 7.254 Å, c = 7.254 Å
α = 90.00°, β = 90.00°, γ = 90.00°
Space group F-43m (No. 216)
One atom of each set of equivalent atoms:
Nd1 0.000 0.000 0.000 [4 per cell]
Th1 0.000 0.000 0.500 [4 per cell]
Ni1 0.250 0.250 0.250 [4 per cell]
Au1 0.250 0.250 0.750 [4 per cell]

---

Below is Nd3HoC8 after structural relaxation, with properties calculated at the PBE level.

Calculated values
For the energy of formation from the pure elements, the calculation gives 0.15 eV/atom. The calculation puts the mass density at 5.70 g cm⁻³. The total magnetic moment is 0.000 μB per cell.

a = 7.265 Å, b = 7.265 Å, c = 7.659 Å
α = 90.00°, β = 90.00°, γ = 90.00°
Space group I-42m (No. 121)
One atom of each set of equivalent atoms:
Nd1 0.000 0.000 0.000 [2 per cell]
Nd2 0.000 0.500 0.250 [4 per cell]
Ho1 0.000 0.000 0.500 [2 per cell]
C1 0.160 0.160 0.281 [8 per cell]
C2 0.236 0.236 0.874 [8 per cell]

---

Below is PdAu5 after structural relaxation, with properties calculated at the PBE level.

Calculated values
For the energy of formation from the pure elements, the calculation gives -0.05 eV/atom. The calculation puts the mass density at 17.24 g cm⁻³. The total magnetic moment is 0.000 μB per cell.

a = 4.182 Å, b = 12.538 Å, c = 4.010 Å
α = 90.00°, β = 90.00°, γ = 90.00°
Space group Cmmm (No. 65)
One atom of each set of equivalent atoms:
Pd1 0.000 0.000 0.000 [2 per cell]
Au1 0.000 0.165 0.500 [4 per cell]
Au2 0.000 0.335 0.000 [4 per cell]
Au3 0.000 0.500 0.500 [2 per cell]

---

Below is NaPm3Pb2 after structural relaxation, with properties calculated at the PBE level.

Calculated values
For the energy of formation from the pure elements, the calculation gives -0.24 eV/atom. The calculation puts the mass density at 7.47 g cm⁻³. The total magnetic moment is 0.001 μB per cell.

a = 18.477 Å, b = 5.840 Å, c = 7.185 Å
α = 90.00°, β = 90.14°, γ = 90.00°
Space group C2/m (No. 12)
One atom of each set of equivalent atoms:
Na1 0.160 0.000 0.250 [4 per cell]
Pm1 0.038 0.000 0.751 [4 per cell]
Pm2 0.153 0.500 0.520 [4 per cell]
Pm3 0.153 0.500 0.980 [4 per cell]
Pb1 0.014 0.500 0.249 [4 per cell]
Pb2 0.205 0.000 0.749 [4 per cell]

---

Below is Er3ZrTl4Te8 after structural relaxation, with properties calculated at the PBE level.

Calculated values
The calculation puts the mass density at 7.47 g cm⁻³. The total magnetic moment is 2.525 μB per cell. The uncorrected formation energy comes out at -920 meV per atom.

a = 8.7092 Å, b = 8.7092 Å, c = 24.6814 Å
α = 90.00°, β = 90.00°, γ = 120.00°
Space group R-3m (No. 166, hexagonal axes)
One atom of each set of equivalent atoms:
Er1 0.0000 0.5000 0.0000 [9 per cell]
Zr1 0.0000 0.0000 0.0000 [3 per cell]
Tl1 0.0000 0.0000 0.5000 [3 per cell]
Tl2 0.0000 0.5000 0.5000 [9 per cell]
Te1 0.0000 0.0000 0.2622 [6 per cell]
Te2 0.0090 0.5045 0.7367 [18 per cell]

---

Below is TaCuMo2 after structural relaxation, with properties calculated at the PBE level.

Calculated values
For the energy of formation from the pure elements, the calculation gives 0.23 eV/atom. The calculation puts the mass density at 11.49 g cm⁻³. The total magnetic moment is 0.000 μB per cell.

a = 9.262 Å, b = 2.677 Å, c = 5.113 Å
α = 90.00°, β = 96.10°, γ = 90.00°
Space group Cm (No. 8)
One atom of each set of equivalent atoms:
Ta1 0.000 0.000 0.000 [2 per cell]
Cu1 0.242 0.500 0.231 [2 per cell]
Mo1 0.239 0.000 0.726 [2 per cell]
Mo2 0.478 0.000 0.482 [2 per cell]

---

Below is NaLiSnGe after structural relaxation, with properties calculated at the PBE level.

Calculated values
For the energy of formation from the pure elements, the calculation gives -0.09 eV/atom. The calculation puts the mass density at 4.09 g cm⁻³. The total magnetic moment is 0.000 μB per cell.

a = 7.108 Å, b = 7.108 Å, c = 7.108 Å
α = 90.00°, β = 90.00°, γ = 90.00°
Space group F-43m (No. 216)
One atom of each set of equivalent atoms:
Na1 0.000 0.000 0.000 [4 per cell]
Li1 0.250 0.250 0.750 [4 per cell]
Sn1 0.000 0.000 0.500 [4 per cell]
Ge1 0.250 0.250 0.250 [4 per cell]